Density functional theory data (GGA-PBE) for a geometry-optimized NdTiCo4 structure.

Cell: 7.025 7.025 7.025 Å, 90.00 90.00 90.00°
Space group F-43m (No. 216)
Unique sites:
Nd (0.000, 0.000, 0.000) (multiplicity 4)
Ti (0.250, 0.250, 0.750) (multiplicity 4)
Co (0.124, 0.124, 0.376) (multiplicity 16)

Output
- ΔH_f (0 K) (eV per atom) = -0.05
- calculated volume (Å³ per cell) = 347
- uncorrected energy (eV/atom) = -6.90
- DOS at the Fermi energy (states/eV per atom) = 1.2969
- total magnetization (μB/cell) = 12.1

***

Density functional theory data (GGA-PBE) for a geometry-optimized LaTlTc2 structure.

Cell: 3.071 4.656 5.842 Å, 90.00 90.45 90.00°
Space group P2/m (No. 10)
Unique sites:
La (0.000, 0.000, 0.000) (multiplicity 1)
Tl (0.500, 0.000, 0.500) (multiplicity 1)
Tc (0.268, 0.500, 0.198) (multiplicity 2)

Output
- energy above the most stable polymorph in this dataset (eV/atom) = 0.4517
- ΔH_f (0 K) (eV per atom) = 0.56
- calculated volume (Å³ per cell) = 84
- uncorrected energy (eV/atom) = -6.45
- DOS at the Fermi energy (states/eV per atom) = 0.9705
- total magnetization (μB/cell) = 0.0

***

Density functional theory data (GGA-PBE) for a geometry-optimized ScTlSeI2 structure.

Cell: 5.944 5.944 5.082 Å, 90.00 90.00 90.00°
Space group P4/mmm (No. 123)
Unique sites:
Sc (0.000, 0.000, 0.000) (multiplicity 1)
Tl (0.500, 0.500, 0.500) (multiplicity 1)
Se (0.000, 0.000, 0.500) (multiplicity 1)
I (0.000, 0.500, 0.000) (multiplicity 2)

Output
- energy above the most stable polymorph in this dataset (eV/atom) = 0.0000
- calculated volume (Å³ per cell) = 180
- uncorrected energy (eV/atom) = -4.00
- E_form (uncorrected) (kJ/mol of formula units) = -456
- total magnetization (μB/cell) = 0.0